K2WIO6 | PBE with a Hubbard U | optimized geometry

Lattice parameters (Å, degrees): 5.7061 5.7061 6.3247 63.17 63.17 90.00
Last column: nearest neighbours and their distance in Å.
Fractional coordinates of all 10 atoms:
O 0.2456 0.2461 0.9994  1 W 1.98, 1 I 2.05
O 0.7542 0.2453 0.0000  1 W 1.98, 1 I 2.05
O 0.1943 0.1942 0.6112  1 W 1.89
O 0.8057 0.8058 0.3888  1 W 1.89
O 0.2458 0.7547 0.0000  1 W 1.98, 1 I 2.05
O 0.7544 0.7539 0.0006  1 W 1.98, 1 I 2.05
K 0.2501 0.7499 0.5000  12 O 2.90-3.17
K 0.7499 0.2501 0.5000  12 O 2.90-3.17
W 0.0000 0.0000 0.0000  6 O 1.89-1.98
I 0.5000 0.5000 0.0000  4 O 2.05

The total DFT energy (no corrections) comes out at -5.436 eV per atom.